A plane-wave DFT calculation with PBE-GGA was carried out for crystalline Pm4BSI2 at its relaxed geometry.

The structure in extended XYZ format:
```
8
Lattice="7.102 0.000 0.000 0.000 4.079 0.000 -2.374 0.000 7.649" Properties=species:S:1:pos:R:3 pbc="T T T"
Pm 1.053 0.000 1.389
Pm -0.153 2.039 6.248
Pm 4.881 2.039 1.401
Pm 3.674 0.000 6.260
B 0.000 2.039 0.000
S 3.551 0.000 0.000
I -1.187 0.000 3.825
I 2.364 2.039 3.825
```

Results
density of states at the Fermi level: 2.7 states/eV/cell
raw formation energy: -1.102 eV per atom
space group: P2/m (10)